No. 1
The following is a DFT calculation (GGA-PBE) of InCuTeIrS2 after structural relaxation. Values from VASP.

Values from the calculation:
Space-group type: Cmcm (63)
M_tot (μB/f.u.): 0.0
DFT total energy (eV per cell): -55.59

Cell and atoms, written as Quantum ESPRESSO input:
```
&SYSTEM
  ibrav = 0, nat = 12, ntyp = 5
/
ATOMIC_SPECIES
Ir 192.22 Ir.upf
S 32.06 S.upf
Te 127.60 Te.upf
In 114.82 In.upf
Cu 63.55 Cu.upf
ATOMIC_POSITIONS angstrom
Ir -1.8456 2.8017 3.6782
Ir 0.0000 0.0000 0.0000
S -1.4979 1.3356 -1.3604
S -3.9165 1.5776 3.9800
S -3.1197 3.7976 1.8718
S -5.5383 4.0396 7.2121
Te -5.5943 -1.0633 8.1104
Te -1.4420 6.4386 -2.2587
In -3.1968 -1.3996 2.8312
In -3.8395 6.7748 3.0205
Cu -2.2500 2.8294 0.0850
Cu -4.7863 2.5458 5.7667
CELL_PARAMETERS angstrom
-0.3594 5.7515 -4.5613
-2.9857 -5.9796 3.0566
-3.6911 5.6034 7.3564
```



No. 2
The following is a DFT calculation (GGA-PBE) of InCuSbIr after structural relaxation. Values from VASP.

Values from the calculation:
Space-group type: F-43m (216)
M_tot (μB/f.u.): 0.0
DFT total energy (eV per cell): -18.80
Relative energy among the computed polymorphs (meV/atom): 0

Cell and atoms, written as Quantum ESPRESSO input:
```
&SYSTEM
  ibrav = 0, nat = 4, ntyp = 4
/
ATOMIC_SPECIES
Sb 121.76 Sb.upf
Ir 192.22 Ir.upf
In 114.82 In.upf
Cu 63.55 Cu.upf
ATOMIC_POSITIONS angstrom
Sb 3.2995 3.2995 3.2995
Ir 1.6498 1.6498 1.6498
In 0.0000 0.0000 0.0000
Cu 4.9493 4.9493 4.9493
CELL_PARAMETERS angstrom
0.0000 3.2995 3.2995
3.2995 0.0000 3.2995
3.2995 3.2995 0.0000
```



Copy entry 2 word for word.
The following is a DFT calculation (GGA-PBE) of InCuSbIr after structural relaxation. Values from VASP.

Values from the calculation:
Space-group type: F-43m (216)
M_tot (μB/f.u.): 0.0
DFT total energy (eV per cell): -18.80
Relative energy among the computed polymorphs (meV/atom): 0

Cell and atoms, written as Quantum ESPRESSO input:
```
&SYSTEM
  ibrav = 0, nat = 4, ntyp = 4
/
ATOMIC_SPECIES
Sb 121.76 Sb.upf
Ir 192.22 Ir.upf
In 114.82 In.upf
Cu 63.55 Cu.upf
ATOMIC_POSITIONS angstrom
Sb 3.2995 3.2995 3.2995
Ir 1.6498 1.6498 1.6498
In 0.0000 0.0000 0.0000
Cu 4.9493 4.9493 4.9493
CELL_PARAMETERS angstrom
0.0000 3.2995 3.2995
3.2995 0.0000 3.2995
3.2995 3.2995 0.0000
```



Repeat the second record exactly.
The following is a DFT calculation (GGA-PBE) of InCuSbIr after structural relaxation. Values from VASP.

Values from the calculation:
Space-group type: F-43m (216)
M_tot (μB/f.u.): 0.0
DFT total energy (eV per cell): -18.80
Relative energy among the computed polymorphs (meV/atom): 0

Cell and atoms, written as Quantum ESPRESSO input:
```
&SYSTEM
  ibrav = 0, nat = 4, ntyp = 4
/
ATOMIC_SPECIES
Sb 121.76 Sb.upf
Ir 192.22 Ir.upf
In 114.82 In.upf
Cu 63.55 Cu.upf
ATOMIC_POSITIONS angstrom
Sb 3.2995 3.2995 3.2995
Ir 1.6498 1.6498 1.6498
In 0.0000 0.0000 0.0000
Cu 4.9493 4.9493 4.9493
CELL_PARAMETERS angstrom
0.0000 3.2995 3.2995
3.2995 0.0000 3.2995
3.2995 3.2995 0.0000
```